The following is a GGA+U calculation of NiN2F2 after structural relaxation, from the Alexandria database.

The value obtained for the calculated volume is 54.6 Å³ per cell. The calculation puts the distance to the lowest polymorph of the same formula at 1274 meV/atom. For the total energy, the calculation gives -2.838 eV per atom. As for the crystal system: tetragonal. The calculated density comes out at 3.8 g cm⁻³.

abc: 3.432 3.432 4.638
angles: 90.00 90.00 90.00
Space group P4/mmm (No. 123)
Inequivalent atoms, fractional coordinates:
Ni  0.000  0.000  0.000 x1
N  0.000  0.500  0.500 x2
F  0.500  0.500  0.000 x1
F  0.500  0.500  0.500 x1